w.
Below is a relaxed structure of HfPt3Br, with properties calculated at the PBE-GGA level.

Computed properties:
As for the space group: Pm-3m, No. 221. As for the magnetization: 0.0 μB/cell. As for the density of states at the Fermi level: 0.75 states/eV/atom.

a b c (Å): 4.7228 4.7228 4.7228
angles (deg): 90.00 90.00 90.00
Positions (direct):
1 Hf 0.0000 0.0000 0.0000
2 Pt 0.0000 0.5000 0.5000
3 Pt 0.5000 0.0000 0.5000
4 Pt 0.5000 0.5000 0.0000
5 Br 0.5000 0.5000 0.5000

---

x.
Below is a relaxed structure of HfPt3Br, with properties calculated at the PBE-GGA level.

Computed properties:
As for the space group: Pm-3m, No. 221. As for the magnetization: 0.0 μB/cell. As for the density of states at the Fermi level: 0.93 states/eV/atom.

a b c (Å): 5.0066 5.0066 5.0066
angles (deg): 90.00 90.00 90.00
Positions (direct):
1 Hf 0.0000 0.0000 0.0000
2 Pt 0.0000 0.0000 0.5000
3 Pt 0.0000 0.5000 0.0000
4 Pt 0.5000 0.0000 0.0000
5 Br 0.5000 0.5000 0.5000

---

Best to worst by energy: x, w.

---

w.
Below is a relaxed structure of HfPtBr3, with properties calculated at the PBE-GGA level.

Computed properties:
As for the space group: Pm-3m, No. 221. As for the magnetization: 0.0 μB/cell. As for the density of states at the Fermi level: 1.11 states/eV/atom.

a b c (Å): 5.1960 5.1960 5.1960
angles (deg): 90.00 90.00 90.00
Positions (direct):
1 Hf 0.0000 0.0000 0.0000
2 Pt 0.5000 0.5000 0.5000
3 Br 0.0000 0.0000 0.5000
4 Br 0.0000 0.5000 0.0000
5 Br 0.5000 0.0000 0.0000

---

x.
Below is a relaxed structure of HfPtBr3, with properties calculated at the PBE-GGA level.

Computed properties:
As for the space group: Pm-3m, No. 221. As for the magnetization: 1.9 μB/cell. As for the density of states at the Fermi level: 1.54 states/eV/atom.

a b c (Å): 5.1299 5.1299 5.1299
angles (deg): 90.00 90.00 90.00
Positions (direct):
1 Hf 0.0000 0.0000 0.0000
2 Pt 0.5000 0.5000 0.5000
3 Br 0.0000 0.5000 0.5000
4 Br 0.5000 0.0000 0.5000
5 Br 0.5000 0.5000 0.0000

---

Best to worst by energy: w, x.

---

w.
Below is a relaxed structure of Hf2PtBr, with properties calculated at the PBE-GGA level.

Computed properties:
As for the space group: I-42d, No. 122. As for the magnetization: 0.0 μB/cell. As for the density of states at the Fermi level: 0.71 states/eV/atom.

a b c (Å): 5.7162 5.7162 13.4942
angles (deg): 90.00 90.00 90.00
Positions (direct):
1 Hf 0.2182 0.2500 0.1250
2 Hf 0.2500 0.7182 0.3750
3 Hf 0.2500 0.7818 0.8750
4 Hf 0.2818 0.2500 0.6250
5 Hf 0.7182 0.7500 0.6250
6 Hf 0.7500 0.2182 0.8750
7 Hf 0.7500 0.2818 0.3750
8 Hf 0.7818 0.7500 0.1250
9 Pt 0.0000 0.0000 0.0000
10 Pt 0.0000 0.5000 0.2500
11 Pt 0.5000 0.0000 0.7500
12 Pt 0.5000 0.5000 0.5000
13 Br 0.0000 0.0000 0.5000
14 Br 0.0000 0.5000 0.7500
15 Br 0.5000 0.0000 0.2500
16 Br 0.5000 0.5000 0.0000

---

x.
Below is a relaxed structure of Hf2PtBr, with properties calculated at the PBE-GGA level.

Computed properties:
As for the space group: Fm-3m, No. 225. As for the magnetization: 0.0 μB/cell. As for the density of states at the Fermi level: 0.67 states/eV/atom.

a b c (Å): 6.7601 6.7601 6.7601
angles (deg): 90.00 90.00 90.00
Positions (direct):
1 Hf 0.2500 0.2500 0.2500
2 Hf 0.2500 0.2500 0.7500
3 Hf 0.2500 0.7500 0.2500
4 Hf 0.2500 0.7500 0.7500
5 Hf 0.7500 0.2500 0.2500
6 Hf 0.7500 0.2500 0.7500
7 Hf 0.7500 0.7500 0.2500
8 Hf 0.7500 0.7500 0.7500
9 Pt 0.0000 0.0000 0.0000
10 Pt 0.0000 0.5000 0.5000
11 Pt 0.5000 0.0000 0.5000
12 Pt 0.5000 0.5000 0.0000
13 Br 0.0000 0.0000 0.5000
14 Br 0.0000 0.5000 0.0000
15 Br 0.5000 0.0000 0.0000
16 Br 0.5000 0.5000 0.5000

---

Best to worst by energy: x, w.

---

w.
Below is a relaxed structure of HfPtSeBr2, with properties calculated at the PBE-GGA level.

Computed properties:
As for the space group: P4/mmm, No. 123. As for the magnetization: 1.3 μB/cell. As for the density of states at the Fermi level: 1.00 states/eV/atom.

a b c (Å): 5.0076 5.0076 5.0744
angles (deg): 90.00 90.00 90.00
Positions (direct):
1 Hf 0.0000 0.0000 0.0000
2 Pt 0.5000 0.5000 0.5000
3 Se 0.5000 0.5000 0.0000
4 Br 0.0000 0.5000 0.5000
5 Br 0.5000 0.0000 0.5000

---

x.
Below is a relaxed structure of HfPtSeBr2, with properties calculated at the PBE-GGA level.

Computed properties:
As for the space group: P4/mmm, No. 123. As for the magnetization: 0.5 μB/cell. As for the density of states at the Fermi level: 1.68 states/eV/atom.

a b c (Å): 5.1756 5.1756 5.1764
angles (deg): 90.00 90.00 90.00
Positions (direct):
1 Hf 0.0000 0.0000 0.0000
2 Pt 0.5000 0.5000 0.5000
3 Se 0.0000 0.0000 0.5000
4 Br 0.0000 0.5000 0.0000
5 Br 0.5000 0.0000 0.0000

---

Best to worst by energy: x, w.